(1)
LaSbP2O8: optimized geometry, PBE.

Cell lengths 5.269, 5.269, 7.413 Å; angles 90.00, 90.00, 120.00 degrees
Element x y z (fractional)
La 0.000 0.000 0.000
Sb 0.000 0.000 0.500
P 0.667 0.333 0.209
P 0.333 0.667 0.791
O 0.333 0.667 0.998
O 0.344 0.181 0.277
O 0.819 0.164 0.277
O 0.667 0.333 0.002
O 0.181 0.836 0.723
O 0.656 0.819 0.723
O 0.164 0.344 0.723
O 0.836 0.656 0.277

Computed properties:
Formation energy (no corrections): -2.346 eV per atom

=====

(2)
NaCd2B2: optimized geometry, PBE.

Cell lengths 7.618, 7.618, 2.779 Å; angles 90.00, 90.00, 90.00 degrees
Element x y z (fractional)
Na 0.000 0.000 0.000
Na 0.500 0.500 0.000
B 0.158 0.658 0.500
B 0.658 0.842 0.500
B 0.842 0.342 0.500
B 0.342 0.158 0.500
Cd 0.360 0.860 0.000
Cd 0.860 0.640 0.000
Cd 0.640 0.140 0.000
Cd 0.140 0.360 0.000

Computed properties:
Formation energy from the elements: 1.059 eV/atom

=====

(3)
Cs2ZnCd: optimized geometry, PBE.

Cell lengths 5.192, 5.192, 13.215 Å; angles 78.67, 78.67, 60.00 degrees
Element x y z (fractional)
Cs 0.103 0.103 0.691
Cs 0.897 0.897 0.309
Zn 0.000 0.000 0.000
Cd 0.500 0.500 0.500

Computed properties:
Formation energy from the elements: 0.309 eV/atom

=====

(4)
U3TcB7: optimized geometry, PBE.

Cell lengths 3.522, 7.972, 9.283 Å; angles 90.00, 90.00, 102.76 degrees
Last column: magnetic moment on the atom in μB.
Element x y z (fractional)
U 0.107 0.215 0.439  1.43
U 0.893 0.785 0.561  1.43
U 0.255 0.510 0.750  1.71
U 0.745 0.490 0.250  1.71
U 0.107 0.215 0.061  1.43
U 0.893 0.785 0.939  1.43
Tc 0.947 0.895 0.250  -0.04
Tc 0.053 0.105 0.750  -0.04
B 0.455 0.911 0.750  -0.02
B 0.545 0.089 0.250  -0.02
B 0.479 0.959 0.408  -0.01
B 0.521 0.041 0.592  -0.01
B 0.521 0.041 0.908  -0.01
B 0.479 0.959 0.092  -0.01
B 0.365 0.730 0.347  -0.01
B 0.635 0.270 0.653  -0.01
B 0.275 0.549 0.466  -0.03
B 0.725 0.451 0.534  -0.03
B 0.725 0.451 0.966  -0.03
B 0.275 0.549 0.034  -0.03
B 0.365 0.730 0.153  -0.01
B 0.635 0.270 0.847  -0.01

Computed properties:
Formation energy from the elements: -0.397 eV/atom

=====

(5)
CaBe2Au: optimized geometry, PBE.

Cell lengths 3.710, 3.435, 5.625 Å; angles 72.38, 90.00, 90.00 degrees
Element x y z (fractional)
Be 0.000 0.194 0.987
Be 0.500 0.100 0.176
Ca 0.000 0.461 0.455
Au 0.500 0.745 0.882

Computed properties:
Formation energy from the elements: -0.011 eV/atom

=====

(6)
SrPr3Au4: optimized geometry, PBE.

Cell lengths 6.514, 6.514, 6.514 Å; angles 109.47, 109.47, 109.47 degrees
Element x y z (fractional)
Pr 0.000 0.500 0.500
Pr 0.500 0.000 0.500
Pr 0.500 0.500 0.000
Sr 0.000 0.000 0.000
Au 0.000 0.000 0.500
Au 0.500 0.500 0.500
Au 0.500 0.000 0.000
Au 0.000 0.500 0.000

Computed properties:
Formation energy from the elements: -0.734 eV/atom

=====

The records above yield ρ values of 4.2, 5.5, 2.5, 11.6, 6.2, 10.1 g cm⁻³, respectively.